Density functional theory data (PBE-GGA) for a geometry-optimized Er2SnAs structure.

Results
The calculation puts the formation enthalpy at 0 K at -1.04 eV per atom. The calculation puts the final energy at -0.4031 Ry/atom. As for the total moment: 0.000 μB per formula unit.

a = 4.0055 Å, b = 4.0055 Å, c = 22.7636 Å
α = 90.00°, β = 90.00°, γ = 120.00°
Space group R-3m (No. 166, hexagonal axes)
Symmetry-distinct sites (fractional):
Er  0.0000  0.0000  0.2393 [6 per cell]
Sn  0.0000  0.0000  0.0000 [3 per cell]
As  0.0000  0.0000  0.5000 [3 per cell]

---

Density functional theory data (PBE-GGA) for a geometry-optimized Na2OsRuO6 structure.

Results
The value obtained for the uncorrected formation energy is -1.165 eV per atom. The calculation puts the final energy at -0.4744 Ry/atom. As for the total moment: 0.573 μB per formula unit.

a = 5.471 Å, b = 5.471 Å, c = 3.887 Å
α = 90.00°, β = 90.00°, γ = 90.00°
Space group P4/mmm (No. 123)
Symmetry-distinct sites (fractional):
Na  0.000  0.500  0.000 [2 per cell]
Os  0.000  0.000  0.500 [1 per cell]
Ru  0.500  0.500  0.500 [1 per cell]
O  0.000  0.000  0.000 [1 per cell]
O  0.246  0.246  0.500 [4 per cell]
O  0.500  0.500  0.000 [1 per cell]